No. 1
Material: AcSnF
Method: DFT, GGA-PBE
State: relaxed

Output
- Energy above the lowest structure with this stoichiometry: 0.000 eV per atom
- Calculated density: 8.1 Mg/m³
- N(E_F): 1.18 states/eV/cell
- Formation energy (no corrections): -2166 meV/atom

a = 4.5623 Å, b = 4.4923 Å, c = 7.6514 Å
α = 90.00°, β = 107.35°, γ = 90.00°
Closest atoms and distances in Å follow each position.
Fractional coordinates of all 6 atoms:
Ac: 0.2602 0.1152 0.9830  4 F 2.70-2.78
Ac: 0.9699 0.6152 0.4026  4 F 2.70-2.78
Sn: 0.6752 0.6151 0.8132  2 Sn 2.85
Sn: 0.5548 0.1151 0.5724  2 Sn 2.85
F: 0.3715 0.6161 0.2057  4 Ac 2.70-2.78
F: 0.8586 0.1161 0.1800  4 Ac 2.70-2.78

=====

No. 2
Material: GaBi2HBr
Method: DFT, GGA-PBE
State: relaxed

Output
- Energy above the lowest structure with this stoichiometry: 0.107 eV per atom
- Calculated density: 6.9 Mg/m³
- N(E_F): 3.18 states/eV/cell

a = 4.5688 Å, b = 6.5997 Å, c = 4.5688 Å
α = 90.00°, β = 90.00°, γ = 90.00°
Closest atoms and distances in Å follow each position.
Fractional coordinates of all 5 atoms:
H: 0.0000 0.0000 0.0000  4 Bi 2.28
Ga: 0.0000 0.5000 0.0000  4 Br 3.23, 2 H 3.30
Bi: 0.0000 0.0000 0.5000  2 H 2.28
Bi: 0.5000 0.0000 0.0000  2 H 2.28
Br: 0.5000 0.5000 0.5000  4 Ga 3.23

=====

No. 3
Material: NbCdSbW2
Method: DFT, GGA-PBE
State: relaxed

Output
- Calculated density: 9.3 Mg/m³
- N(E_F): 5.68 states/eV/cell
- Formation energy (no corrections): 1820 meV/atom

a = 4.8910 Å, b = 5.2106 Å, c = 4.8910 Å
α = 90.00°, β = 90.00°, γ = 90.00°
Closest atoms and distances in Å follow each position.
Fractional coordinates of all 5 atoms:
Sb: 0.0000 0.5000 0.0000  2 Nb 2.61
Nb: 0.0000 0.0000 0.0000  4 W 2.45, 2 Sb 2.61
W: 0.0000 0.0000 0.5000  2 Nb 2.45
W: 0.5000 0.0000 0.0000  2 Nb 2.45
Cd: 0.5000 0.5000 0.5000  4 Sb 3.46, 8 W 3.57

=====

No. 4
Material: Ce2TcN4
Method: DFT, GGA-PBE
State: relaxed

Output
- Energy above the lowest structure with this stoichiometry: 0.000 eV per atom
- Calculated density: 7.8 Mg/m³
- N(E_F): 8.20 states/eV/cell
- Formation energy (no corrections): -1001 meV/atom

a = 5.4450 Å, b = 5.5923 Å, c = 6.6789 Å
α = 90.00°, β = 114.06°, γ = 90.00°
Closest atoms and distances in Å follow each position.
Fractional coordinates of all 14 atoms:
Ce: 0.6440 0.0167 0.2881  2 N 2.20-2.44
Ce: 0.3560 0.9833 0.7119  2 N 2.20-2.44
Ce: 0.8560 0.5167 0.7119  2 N 2.20-2.44
Ce: 0.1440 0.4833 0.2881  2 N 2.20-2.44
Tc: 0.0000 0.0000 0.0000  4 N 1.96
Tc: 0.5000 0.5000 0.0000  4 N 1.96
N: 0.8217 0.9466 0.6433  1 Tc 2.20, 2 Ce 2.20-2.44
N: 0.1783 0.0534 0.3567  1 Tc 2.20, 2 Ce 2.20-2.44
N: 0.6783 0.4466 0.3567  1 Tc 2.20, 2 Ce 2.20-2.44
N: 0.3217 0.5534 0.6433  1 Tc 2.20, 2 Ce 2.20-2.44
N: 0.7360 0.2500 0.9721  2 Tc 1.96
N: 0.7640 0.7500 0.0279  2 Tc 1.96
N: 0.2360 0.2500 0.9721  2 Tc 1.96
N: 0.2640 0.7500 0.0279  2 Tc 1.96

=====

No. 5
Material: Sm2CdS
Method: DFT, GGA-PBE
State: relaxed

Output
- Energy above the lowest structure with this stoichiometry: 0.052 eV per atom
- Calculated density: 6.9 Mg/m³
- N(E_F): 2.87 states/eV/cell
- Formation energy (no corrections): -1055 meV/atom

a = 3.9202 Å, b = 3.9202 Å, c = 8.3845 Å
α = 76.48°, β = 76.48°, γ = 60.00°
Closest atoms and distances in Å follow each position.
Fractional coordinates of all 4 atoms:
Sm: 0.0669 0.0669 0.7993  3 S 2.77
Sm: 0.2657 0.2657 0.2029  3 S 2.81
Cd: 0.4997 0.4997 0.5009  6 Sm 3.30-3.31
S: 0.6677 0.6677 0.9968  6 Sm 2.77-2.81

=====

No. 6
Material: AcSm3
Method: DFT, GGA-PBE
State: relaxed

Output
- Calculated density: 7.7 Mg/m³
- DFT total energy: -4.521 eV/atom
- N(E_F): 13.70 states/eV/cell

a = 7.5310 Å, b = 7.5310 Å, c = 5.9809 Å
α = 90.00°, β = 90.00°, γ = 120.00°
Closest atoms and distances in Å follow each position.
Fractional coordinates of all 8 atoms:
Ac: 0.3333 0.6667 0.7500  12 Sm 3.72-3.77
Ac: 0.6667 0.3333 0.2500  12 Sm 3.72-3.77
Sm: 0.1632 0.3265 0.2500  8 Sm 3.67-3.84, 4 Ac 3.72-3.77
Sm: 0.6735 0.8368 0.2500  8 Sm 3.67-3.84, 4 Ac 3.72-3.77
Sm: 0.1632 0.8368 0.2500  8 Sm 3.67-3.84, 4 Ac 3.72-3.77
Sm: 0.8368 0.6735 0.7500  8 Sm 3.67-3.84, 4 Ac 3.72-3.77
Sm: 0.3265 0.1632 0.7500  8 Sm 3.67-3.84, 4 Ac 3.72-3.77
Sm: 0.8368 0.1632 0.7500  8 Sm 3.67-3.84, 4 Ac 3.72-3.77